No. 1
First-principles (GGA-PBE) data for LaZr2ReAu after structural relaxation, as listed in Alexandria via LeMat-Bulk.

CIF file:
```
data_LaZr2ReAu
_chemical_formula_sum 'La1 Zr2 Re1 Au1'
_space_group_name_H-M_alt 'P 4/m m m'
_space_group_IT_number 123
_space_group_name_Hall '-P 4 2'
_cell_length_a 5.100
_cell_length_b 5.100
_cell_length_c 5.419
_cell_angle_alpha 90.00
_cell_angle_beta 90.00
_cell_angle_gamma 90.00
loop_
_atom_site_label
_atom_site_fract_x
_atom_site_fract_y
_atom_site_fract_z
La1 0.000 0.000 0.000
Zr1 0.000 0.500 0.500
Re1 0.000 0.000 0.500
Au1 0.500 0.500 0.000
```

Properties
**Magnetization**: 0.00 μB/cell
**Electronic total energy**: -7.110 eV/atom
**Energy relative to the elements**: 439.5 meV per atom
**Volume**: 140.9 Å³ per cell

No. 2
First-principles (GGA-PBE) data for La4RhAu3 after structural relaxation, as listed in Alexandria via LeMat-Bulk.

CIF file:
```
data_La4RhAu3
_chemical_formula_sum 'La4 Rh1 Au3'
_space_group_name_H-M_alt 'P m m 2'
_space_group_IT_number 25
_cell_length_a 4.032
_cell_length_b 4.772
_cell_length_c 11.241
_cell_angle_alpha 90.00
_cell_angle_beta 90.00
_cell_angle_gamma 90.00
loop_
_space_group_symop_operation_xyz
'x,y,z'
'-x,-y,z'
'-x,y,z'
'x,-y,z'
loop_
_atom_site_label
_atom_site_fract_x
_atom_site_fract_y
_atom_site_fract_z
La1 0.000 0.000 0.000
La2 0.000 0.500 0.257
La3 0.500 0.000 0.466
La4 0.500 0.500 0.756
Rh1 0.500 0.000 0.220
Au1 0.000 0.000 0.710
Au2 0.000 0.500 0.535
Au3 0.500 0.500 0.037
```

Properties
**Magnetization**: 0.00 μB/cell
**Electronic total energy**: -5.425 eV/atom
**Energy relative to the elements**: -813.7 meV per atom
**Volume**: 216.3 Å³ per cell